Record 1
First-principles (GGA-PBE) data for a geometry-optimized BaCu2Ge structure, as listed in Alexandria.

Structure (CIF):
```
data_BaCu2Ge
_cell_length_a 5.0802
_cell_length_b 5.0802
_cell_length_c 15.9827
_cell_angle_alpha 90.00
_cell_angle_beta 90.00
_cell_angle_gamma 90.00
_symmetry_space_group_name_H-M 'I 41/a m d'
_symmetry_Int_Tables_number 141
loop_
_symmetry_equiv_pos_as_xyz
'x,y,z'
'-x,-y,-z'
'-y+1/4,x+3/4,z+1/4'
'y+1/4,-x+3/4,-z+1/4'
'-x+1/2,-y,z+1/2'
'x+1/2,y,-z+1/2'
'y+1/4,-x+1/4,z+3/4'
'-y+1/4,x+1/4,-z+3/4'
'x,-y,-z'
'-x,y,z'
'-y+1/4,-x+1/4,-z+3/4'
'y+1/4,x+1/4,z+3/4'
'-x+1/2,y,-z+1/2'
'x+1/2,-y,z+1/2'
'y+1/4,x+3/4,-z+1/4'
'-y+1/4,-x+3/4,z+1/4'
'x+1/2,y+1/2,z+1/2'
'-x+1/2,-y+1/2,-z+1/2'
'-y+3/4,x+1/4,z+3/4'
'y+3/4,-x+1/4,-z+3/4'
'-x,-y+1/2,z'
'x,y+1/2,-z'
'y+3/4,-x+3/4,z+1/4'
'-y+3/4,x+3/4,-z+1/4'
'x+1/2,-y+1/2,-z+1/2'
'-x+1/2,y+1/2,z+1/2'
'-y+3/4,-x+3/4,-z+1/4'
'y+3/4,x+3/4,z+1/4'
'-x,y+1/2,-z'
'x,-y+1/2,z'
'y+3/4,x+1/4,-z+3/4'
'-y+3/4,-x+1/4,z+3/4'
loop_
_atom_site_label
_atom_site_type_symbol
_atom_site_fract_x
_atom_site_fract_y
_atom_site_fract_z
Ba1 Ba 0.0000 0.2500 0.3750
Cu1 Cu 0.0000 0.0000 0.0000
Ge1 Ge 0.0000 0.2500 0.8750
```

Output
calculated density = 5.43 Mg/m³

***

Record 2
First-principles (GGA-PBE) data for a geometry-optimized BaCu12Ge6 structure, as listed in Alexandria.

Structure (CIF):
```
data_BaCu12Ge6
_cell_length_a 10.8728
_cell_length_b 10.8728
_cell_length_c 8.8709
_cell_angle_alpha 90.00
_cell_angle_beta 90.00
_cell_angle_gamma 120.00
_symmetry_space_group_name_H-M 'R -3 m'
_symmetry_Int_Tables_number 166
_symmetry_space_group_name_Hall '-R 3 2"'
loop_
_atom_site_label
_atom_site_type_symbol
_atom_site_fract_x
_atom_site_fract_y
_atom_site_fract_z
Ba1 Ba 0.0000 0.0000 0.0000
Cu1 Cu 0.0000 0.3848 0.5000
Cu2 Cu 0.0875 0.1751 0.3245
Ge1 Ge 0.0433 0.5217 0.2609
```

Output
calculated density = 7.33 Mg/m³

***

Record 3
First-principles (GGA-PBE) data for a geometry-optimized BaCuGe structure, as listed in Alexandria.

Structure (CIF):
```
data_BaCuGe
_cell_length_a 4.2763
_cell_length_b 4.2763
_cell_length_c 5.0353
_cell_angle_alpha 90.00
_cell_angle_beta 90.00
_cell_angle_gamma 120.00
_symmetry_space_group_name_H-M 'P -6 m 2'
_symmetry_Int_Tables_number 187
_symmetry_space_group_name_Hall 'P -6 2'
loop_
_atom_site_label
_atom_site_type_symbol
_atom_site_fract_x
_atom_site_fract_y
_atom_site_fract_z
Ba1 Ba 0.0000 0.0000 0.0000
Cu1 Cu 0.3333 0.6667 0.5000
Ge1 Ge 0.6667 0.3333 0.5000
```

Output
calculated density = 5.70 Mg/m³

***

Record 4
First-principles (GGA-PBE) data for a geometry-optimized BaCuGe3 structure, as listed in Alexandria.

Structure (CIF):
```
data_BaCuGe3
_cell_length_a 5.7701
_cell_length_b 5.7701
_cell_length_c 5.7701
_cell_angle_alpha 90.00
_cell_angle_beta 90.00
_cell_angle_gamma 90.00
_symmetry_space_group_name_H-M 'P m -3 m'
_symmetry_Int_Tables_number 221
_symmetry_space_group_name_Hall '-P 4 2 3'
loop_
_atom_site_label
_atom_site_type_symbol
_atom_site_fract_x
_atom_site_fract_y
_atom_site_fract_z
Ba1 Ba 0.0000 0.0000 0.0000
Cu1 Cu 0.5000 0.5000 0.5000
Ge1 Ge 0.0000 0.0000 0.5000
```

Output
calculated density = 3.62 Mg/m³

***

Number 1: energy relative to the elements -0.187 eV/atom, Fermi-level density of states 0.63 states/eV/f.u., final energy -3.8698 eV/atom. Number 2: energy relative to the elements 0.048 eV/atom, Fermi-level density of states 5.67 states/eV/f.u., final energy -4.0983 eV/atom. Number 3: energy relative to the elements -0.354 eV/atom, Fermi-level density of states 2.82 states/eV/f.u., final energy -3.8994 eV/atom. Number 4: energy relative to the elements 1.645 eV/atom, Fermi-level density of states 4.50 states/eV/f.u., final energy -2.3296 eV/atom.